# Sr2CuBi2O6 (PBE-GGA, optimized geometry)
# - Size of the total moment: 0.000 μB/f.u.
# - E_form (uncorrected): -160 kJ/mol of atoms
# - D(E_F): 0.2049 states/eV/atom
# - Total DFT energy (no corrections): -5.747 eV per atom
data_Sr2CuBi2O6
_space_group_name_H-M_alt 'C c c m'
_space_group_IT_number 66
_space_group_name_Hall '-C 2 2c'
_cell_length_a 5.523
_cell_length_b 25.453
_cell_length_c 5.130
_cell_angle_alpha 90.00
_cell_angle_beta 90.00
_cell_angle_gamma 90.00
loop_
_atom_site_label
_atom_site_fract_x
_atom_site_fract_y
_atom_site_fract_z
Sr1 0.247 0.179 0.000
Cu1 0.250 0.250 0.500
Bi1 0.228 0.436 0.500
O1 0.000 0.251 0.250
O2 0.163 0.434 0.000
O3 0.231 0.145 0.500